VASP calculation (PBE) on a relaxed InCuB2 crystal.

Cell lengths 3.7577, 3.7577, 14.5584 Å; angles 90.00, 90.00, 90.00 degrees
Space group I4_1/amd (No. 141, origin choice 2)
Symmetry-distinct sites (fractional):
In 0.0000 0.2500 0.3750 (multiplicity 4)
Cu 0.0000 0.2500 0.8750 (multiplicity 4)
B 0.0000 0.0000 0.0000 (multiplicity 8)

Output
Total magnetization: 0.00 μB per formula unit
Formation enthalpy at 0 K: 0.64 eV per atom
Total DFT energy (no corrections): -4.4045 eV per atom